Here is a geometry-optimized SrMg30FeO32 structure from Alexandria. Energies are from PBE with a Hubbard U.

Computed properties:
Its space group is P4/mmm (123). Its total energy is -382.02 eV/cell.

Structure (POSCAR):
```
SrMg30FeO32
1.0
-7.918 -0.264 -3.319
3.133 -3.556 -7.190
-1.153 -7.839 3.375
O Mg Sr Fe
32 30 1 1
direct
0.000 0.000 0.747
0.500 0.500 0.246
0.500 0.246 0.500
0.000 0.253 0.000
0.500 0.752 0.000
0.255 0.000 0.500
0.500 0.000 0.752
0.000 0.000 0.253
0.000 0.770 0.500
0.745 0.500 0.000
0.500 0.754 0.500
0.270 0.500 0.500
0.750 0.250 0.250
0.500 0.000 0.248
0.500 0.500 0.754
0.250 0.250 0.250
0.250 0.750 0.750
0.749 0.000 0.000
0.500 0.248 0.000
0.250 0.750 0.250
0.251 0.000 0.000
0.255 0.500 0.000
0.745 0.000 0.500
0.750 0.750 0.750
0.750 0.250 0.750
0.250 0.250 0.750
0.000 0.500 0.770
0.000 0.747 0.000
0.000 0.500 0.230
0.730 0.500 0.500
0.750 0.750 0.250
0.000 0.230 0.500
0.000 0.500 0.000
0.745 0.755 0.500
0.500 0.500 0.000
0.500 0.250 0.250
0.749 0.749 0.000
0.255 0.500 0.755
0.000 0.245 0.245
0.000 0.245 0.755
0.749 0.251 0.000
0.251 0.749 0.000
0.745 0.245 0.500
0.745 0.500 0.245
0.251 0.251 0.000
0.500 0.500 0.500
0.255 0.500 0.245
0.500 0.750 0.250
0.255 0.245 0.500
0.749 0.000 0.251
0.749 0.000 0.749
0.500 0.750 0.750
0.251 0.000 0.251
0.745 0.500 0.755
0.500 0.250 0.750
0.500 0.000 0.000
0.255 0.755 0.500
0.000 0.000 0.500
0.000 0.755 0.245
0.251 0.000 0.749
0.000 0.755 0.755
0.500 0.000 0.500
0.000 0.500 0.500
0.000 0.000 0.000
```